## ZnCd2Br (PBEsol)

Data for a relaxed structure of ZnCd2Br.

a = 3.306 Å, b = 3.306 Å, c = 7.750 Å
α = 90.00°, β = 90.00°, γ = 90.00°
Element x y z (fractional)
1 Br 0.500 0.500 0.500
2 Cd 0.000 0.000 0.777
3 Cd 0.000 0.000 0.223
4 Zn 0.500 0.500 0.000

Properties
Formation energy without anion corrections: -35.7 meV per atom
D(E_F): 0.260 states/eV per atom
Total magnetic moment: 0.0000 μB/atom
Excess energy over the best structure of this formula in the dataset: 0.0747 eV per atom